! Cs12Na6Cd GGA-PBE relaxed; values from VASP
! Formation enthalpy at 0 K   0.049 eV/atom
! Total magnetization   0.00 μB/f.u.
&SYSTEM
  ibrav = 0, nat = 19, ntyp = 3
/
ATOMIC_SPECIES
Cs 132.91 Cs.upf
Na 22.99 Na.upf
Cd 112.41 Cd.upf
ATOMIC_POSITIONS angstrom
Cs -0.0168 3.7480 3.4525
Cs 3.9681 0.6463 3.1311
Cs 1.7582 9.0599 8.9434
Cs 3.0857 4.0199 -0.5355
Cs 7.5163 2.0298 -0.9722
Cs 7.3065 10.5649 0.3941
Cs -0.8607 7.7568 0.8069
Cs 9.2913 7.3417 4.5187
Cs 10.1352 3.3329 7.1643
Cs 5.3063 10.4433 4.8401
Cs 6.1888 7.0698 8.5067
Cs 1.9680 0.5248 7.5770
Na 1.8675 7.8767 4.3371
Na 6.9445 5.8896 1.1944
Na 7.4070 3.2130 3.6341
Na 5.4033 3.2312 6.6861
Na 3.8712 7.8585 1.2851
Na 2.3300 5.2001 6.7767
Cd 0.0000 0.0000 0.0000
CELL_PARAMETERS angstrom
11.5260 -0.1170 -1.8511
-2.1537 11.3236 -1.8511
-0.0978 -0.1170 11.6733